[1]
DFT (PBE-GGA) results for a relaxed Th2In5Hg crystal.

```
data_Th2In5Hg
_chemical_formula_sum 'Th4 In10 Hg2'
_cell_length_a 4.7316
_cell_length_b 6.6857
_cell_length_c 13.3666
_cell_angle_alpha 90.00
_cell_angle_beta 90.00
_cell_angle_gamma 90.00
_space_group_name_H-M_alt 'P 1'
_space_group_IT_number 1
_space_group_name_Hall 'P 1'
loop_
_atom_site_label
_atom_site_type_symbol
_atom_site_fract_x
_atom_site_fract_y
_atom_site_fract_z
Th1 Th 0.5000 0.2513 0.6259
Th2 Th 0.5000 0.7487 0.3741
Th3 Th 0.5000 0.2487 0.1259
Th4 Th 0.5000 0.7513 0.8741
In1 In 0.0000 0.0000 0.0000
In2 In 0.0000 0.5000 0.5000
In3 In 0.0000 0.5011 0.7500
In4 In 0.0000 0.4989 0.2500
In5 In 0.0000 0.9989 0.2500
In6 In 0.0000 0.0011 0.7500
In7 In 0.5000 0.2523 0.8762
In8 In 0.5000 0.7477 0.1238
In9 In 0.5000 0.2477 0.3762
In10 In 0.5000 0.7523 0.6238
Hg1 Hg 0.0000 0.0000 0.5000
Hg2 Hg 0.0000 0.5000 0.0000
```

energy of formation	-2.69	eV per formula unit
symmetry	Pbam, No. 55

***

[2]
DFT (PBE-GGA) results for a relaxed ThInHg crystal.

```
data_ThInHg
_chemical_formula_sum 'Th1 In1 Hg1'
_cell_length_a 3.5980
_cell_length_b 5.0344
_cell_length_c 5.0344
_cell_angle_alpha 120.00
_cell_angle_beta 90.00
_cell_angle_gamma 90.00
_space_group_name_H-M_alt 'P 1'
_space_group_IT_number 1
_space_group_name_Hall 'P 1'
loop_
_atom_site_label
_atom_site_type_symbol
_atom_site_fract_x
_atom_site_fract_y
_atom_site_fract_z
Hg1 Hg 0.1700 0.3333 0.6667
Th1 Th 0.6660 0.6667 0.3333
In1 In 0.1640 0.0000 0.0000
```

energy of formation	-0.84	eV per formula unit
symmetry	P3m1, No. 156

***

[3]
DFT (PBE-GGA) results for a relaxed ThTlInHg crystal.

```
data_ThTlInHg
_chemical_formula_sum 'Th1 Tl1 In1 Hg1'
_cell_length_a 5.3274
_cell_length_b 5.3274
_cell_length_c 5.3274
_cell_angle_alpha 60.00
_cell_angle_beta 60.00
_cell_angle_gamma 60.00
_space_group_name_H-M_alt 'P 1'
_space_group_IT_number 1
_space_group_name_Hall 'P 1'
loop_
_atom_site_label
_atom_site_type_symbol
_atom_site_fract_x
_atom_site_fract_y
_atom_site_fract_z
Tl1 Tl 0.5000 0.5000 0.5000
Hg1 Hg 0.0000 0.0000 0.0000
Th1 Th 0.7500 0.7500 0.7500
In1 In 0.2500 0.2500 0.2500
```

energy of formation	-0.43	eV per formula unit
symmetry	F-43m, No. 216
relative energy among the computed polymorphs	0.56	eV/f.u.

***

[4]
DFT (PBE-GGA) results for a relaxed ThTlInHg crystal.

```
data_ThTlInHg
_chemical_formula_sum 'Th1 Tl1 In1 Hg1'
_cell_length_a 4.7360
_cell_length_b 4.7469
_cell_length_c 4.7741
_cell_angle_alpha 90.00
_cell_angle_beta 90.00
_cell_angle_gamma 90.00
_space_group_name_H-M_alt 'P 1'
_space_group_IT_number 1
_space_group_name_Hall 'P 1'
loop_
_atom_site_label
_atom_site_type_symbol
_atom_site_fract_x
_atom_site_fract_y
_atom_site_fract_z
Th1 Th 0.5000 0.5000 0.0000
Tl1 Tl 0.0000 0.0000 0.0000
In1 In 0.0000 0.5000 0.5000
Hg1 Hg 0.5000 0.0000 0.5000
```

energy of formation	-0.99	eV per formula unit
symmetry	Pmmm, No. 47
relative energy among the computed polymorphs	0.00	eV/f.u.

***

[5]
DFT (PBE-GGA) results for a relaxed TmThInHg crystal.

```
data_TmThInHg
_chemical_formula_sum 'Tm1 Th1 In1 Hg1'
_cell_length_a 5.3556
_cell_length_b 5.3556
_cell_length_c 5.3556
_cell_angle_alpha 60.00
_cell_angle_beta 60.00
_cell_angle_gamma 60.00
_space_group_name_H-M_alt 'P 1'
_space_group_IT_number 1
_space_group_name_Hall 'P 1'
loop_
_atom_site_label
_atom_site_type_symbol
_atom_site_fract_x
_atom_site_fract_y
_atom_site_fract_z
Tm1 Tm 0.0000 0.0000 0.0000
Hg1 Hg 0.7500 0.7500 0.7500
Th1 Th 0.5000 0.5000 0.5000
In1 In 0.2500 0.2500 0.2500
```

energy of formation	-1.25	eV per formula unit
symmetry	F-43m, No. 216

***

[6]
DFT (PBE-GGA) results for a relaxed ThZnInHg crystal.

```
data_ThZnInHg
_chemical_formula_sum 'Th1 Zn1 In1 Hg1'
_cell_length_a 5.1370
_cell_length_b 5.1370
_cell_length_c 5.1370
_cell_angle_alpha 60.00
_cell_angle_beta 60.00
_cell_angle_gamma 60.00
_space_group_name_H-M_alt 'P 1'
_space_group_IT_number 1
_space_group_name_Hall 'P 1'
loop_
_atom_site_label
_atom_site_type_symbol
_atom_site_fract_x
_atom_site_fract_y
_atom_site_fract_z
Zn1 Zn 0.0000 0.0000 0.0000
Hg1 Hg 0.5000 0.5000 0.5000
Th1 Th 0.7500 0.7500 0.7500
In1 In 0.2500 0.2500 0.2500
```

energy of formation	-0.65	eV per formula unit
symmetry	F-43m, No. 216

***

[7]
DFT (PBE-GGA) results for a relaxed ThZrInHg crystal.

```
data_ThZrInHg
_chemical_formula_sum 'Th1 Zr1 In1 Hg1'
_cell_length_a 5.2574
_cell_length_b 5.2574
_cell_length_c 5.2574
_cell_angle_alpha 60.00
_cell_angle_beta 60.00
_cell_angle_gamma 60.00
_space_group_name_H-M_alt 'P 1'
_space_group_IT_number 1
_space_group_name_Hall 'P 1'
loop_
_atom_site_label
_atom_site_type_symbol
_atom_site_fract_x
_atom_site_fract_y
_atom_site_fract_z
Zr1 Zr 0.5000 0.5000 0.5000
Hg1 Hg 0.7500 0.7500 0.7500
Th1 Th 0.0000 0.0000 0.0000
In1 In 0.2500 0.2500 0.2500
```

energy of formation	-0.50	eV per formula unit
symmetry	F-43m, No. 216
relative energy among the computed polymorphs	0.44	eV/f.u.

***

[8]
DFT (PBE-GGA) results for a relaxed ThZrInHg crystal.

```
data_ThZrInHg
_chemical_formula_sum 'Th1 Zr1 In1 Hg1'
_cell_length_a 3.3334
_cell_length_b 3.3334
_cell_length_c 8.8761
_cell_angle_alpha 90.00
_cell_angle_beta 90.00
_cell_angle_gamma 90.00
_space_group_name_H-M_alt 'P 1'
_space_group_IT_number 1
_space_group_name_Hall 'P 1'
loop_
_atom_site_label
_atom_site_type_symbol
_atom_site_fract_x
_atom_site_fract_y
_atom_site_fract_z
Th1 Th 0.0000 0.0000 0.0674
Zr1 Zr 0.0000 0.0000 0.5744
In1 In 0.5000 0.5000 0.3421
Hg1 Hg 0.5000 0.5000 0.8009
```

energy of formation	-0.93	eV per formula unit
symmetry	P4mm, No. 99
relative energy among the computed polymorphs	0.00	eV/f.u.

***

Number 1: uncorrected energy -63.04 eV per cell, D(E_F) 4.532 states/eV per cell, volume 26.43 Å³ per atom. Number 2: uncorrected energy -11.30 eV per cell, D(E_F) 1.961 states/eV per cell, volume 26.32 Å³ per atom. Number 3: uncorrected energy -13.25 eV per cell, D(E_F) 1.735 states/eV per cell, volume 26.73 Å³ per atom. Number 4: uncorrected energy -13.81 eV per cell, D(E_F) 2.211 states/eV per cell, volume 26.83 Å³ per atom. Number 5: uncorrected energy -16.18 eV per cell, D(E_F) 3.611 states/eV per cell, volume 27.16 Å³ per atom. Number 6: uncorrected energy -12.38 eV per cell, D(E_F) 4.933 states/eV per cell, volume 23.96 Å³ per atom. Number 7: uncorrected energy -19.50 eV per cell, D(E_F) 4.175 states/eV per cell, volume 25.69 Å³ per atom. Number 8: uncorrected energy -19.94 eV per cell, D(E_F) 3.660 states/eV per cell, volume 24.66 Å³ per atom.